No. 1
Computed, not measured: Ac3Al2Pt9 after structural relaxation at the PBE level of DFT.

Values from the calculation:
Volume in Å³ per cell: 293.4
Size of the total moment in μB per formula unit: 0.000
Formation energy from the elements in eV/atom: -0.951
Calculated total energy in eV per atom: -6.249
Calculated density in g/cm³: 14.10

Unit cell a=5.9849 b=5.9849 c=9.4593 alpha=90.00 beta=90.00 gamma=120.00
Atoms (fractional coordinates):
1 Ac 0.0000 0.0000 0.0000
2 Ac 0.3333 0.6667 0.3112
3 Ac 0.6667 0.3333 0.6888
4 Al 0.3333 0.6667 0.8010
5 Al 0.6667 0.3333 0.1990
6 Pt 0.0000 0.5000 0.0000
7 Pt 0.1605 0.3209 0.6223
8 Pt 0.1605 0.8395 0.6223
9 Pt 0.3209 0.1605 0.3777
10 Pt 0.5000 0.0000 0.0000
11 Pt 0.5000 0.5000 0.0000
12 Pt 0.6791 0.8395 0.6223
13 Pt 0.8395 0.1605 0.3777
14 Pt 0.8395 0.6791 0.3777

=====

No. 2
Computed, not measured: Pm5PrSm2Sc after structural relaxation at the PBE level of DFT.

Values from the calculation:
Volume in Å³ per cell: 613.3
Size of the total moment in μB per formula unit: 0.000
Formation energy from the elements in eV/atom: 0.128
Calculated total energy in eV per atom: -4.794
Calculated density in g/cm³: 6.56

Unit cell a=11.3610 b=11.3610 c=10.2634 alpha=90.00 beta=90.00 gamma=152.42
Atoms (fractional coordinates):
1 Pm 0.0001 0.9999 0.0000
2 Pm 0.9999 0.0001 0.5000
3 Pm 0.1261 0.8739 0.7502
4 Pm 0.2220 0.7780 0.4392
5 Pm 0.2225 0.7775 0.0621
6 Pm 0.4979 0.5021 0.2501
7 Pm 0.5021 0.4979 0.7501
8 Pm 0.7775 0.2225 0.5621
9 Pm 0.7780 0.2220 0.9392
10 Pm 0.8739 0.1261 0.2502
11 Pr 0.1016 0.8984 0.2500
12 Pr 0.8984 0.1016 0.7500
13 Sm 0.3830 0.6170 0.0032
14 Sm 0.3826 0.6174 0.4969
15 Sm 0.6170 0.3830 0.5032
16 Sm 0.6174 0.3826 0.9969
17 Sc 0.2837 0.7163 0.7506
18 Sc 0.7163 0.2837 0.2506

=====

No. 3
Computed, not measured: CuIrS2 after structural relaxation at the PBE level of DFT.

Values from the calculation:
Volume in Å³ per cell: 67.1
Size of the total moment in μB per formula unit: 0.000
Calculated total energy in eV per atom: -5.456
Calculated density in g/cm³: 7.92
Raw formation energy in meV/atom: -153

Unit cell a=3.5785 b=3.5785 c=6.0466 alpha=90.00 beta=90.00 gamma=120.00
Atoms (fractional coordinates):
1 Cu 0.0000 0.0000 0.0000
2 Ir 0.6667 0.3333 0.5514
3 S 0.0000 0.0000 0.3648
4 S 0.3333 0.6667 0.7790

=====

No. 4
Computed, not measured: CsRb2HfI8 after structural relaxation at the PBE level of DFT.

Values from the calculation:
Volume in Å³ per cell: 657.3
Size of the total moment in μB per formula unit: 0.008
Calculated total energy in eV per atom: -3.190
Calculated density in g/cm³: 3.78
Raw formation energy in meV/atom: -1094

Unit cell a=7.0095 b=8.3723 c=11.1996 alpha=90.08 beta=90.21 gamma=90.04
Atoms (fractional coordinates):
1 Cs 0.0000 0.0000 0.0000
2 Rb 0.4979 0.5003 0.7162
3 Rb 0.5021 0.4997 0.2838
4 Hf 0.0000 0.0000 0.5000
5 I 0.1981 0.7022 0.4984
6 I 0.2422 0.1200 0.3161
7 I 0.2420 0.5068 0.0001
8 I 0.2445 0.1174 0.6850
9 I 0.7555 0.8826 0.3150
10 I 0.7580 0.4932 0.9999
11 I 0.7578 0.8800 0.6839
12 I 0.8019 0.2978 0.5016

=====

No. 5
Computed, not measured: AcY2Cd after structural relaxation at the PBE level of DFT.

Values from the calculation:
Volume in Å³ per cell: 129.1
Size of the total moment in μB per formula unit: 0.002
Formation energy from the elements in eV/atom: -0.139
Calculated total energy in eV per atom: -4.627
Calculated density in g/cm³: 6.65
Energy above the lowest structure with this stoichiometry in kJ per mole of atoms: 0.0

Unit cell a=3.7698 b=3.7698 c=9.0846 alpha=90.00 beta=90.00 gamma=90.00
Atoms (fractional coordinates):
1 Ac 0.0000 0.0000 0.0000
2 Y 0.5000 0.5000 0.2952
3 Y 0.5000 0.5000 0.7048
4 Cd 0.0000 0.0000 0.5000

=====

No. 6
Computed, not measured: NpZnPd6 after structural relaxation at the PBE level of DFT.

Values from the calculation:
Volume in Å³ per cell: 130.7
Size of the total moment in μB per formula unit: 2.538
Formation energy from the elements in eV/atom: -0.401
Calculated total energy in eV per atom: -6.072
Calculated density in g/cm³: 11.96

Unit cell a=4.0767 b=4.0767 c=7.8622 alpha=90.00 beta=90.00 gamma=90.00
Atoms (fractional coordinates):
1 Np 0.0000 0.0000 0.0000
2 Zn 0.0000 0.0000 0.5000
3 Pd 0.0000 0.5000 0.2574
4 Pd 0.0000 0.5000 0.7426
5 Pd 0.5000 0.0000 0.2574
6 Pd 0.5000 0.0000 0.7426
7 Pd 0.5000 0.5000 0.0000
8 Pd 0.5000 0.5000 0.5000

=====

No. 7
Computed, not measured: ZnMo2P after structural relaxation at the PBE level of DFT.

Values from the calculation:
Volume in Å³ per cell: 58.2
Size of the total moment in μB per formula unit: 0.000
Formation energy from the elements in eV/atom: 0.036
Calculated total energy in eV per atom: -7.051
Calculated density in g/cm³: 8.23
Energy above the lowest structure with this stoichiometry in kJ per mole of atoms: 9.3

Unit cell a=5.1508 b=5.1508 c=5.1508 alpha=145.00 beta=131.42 gamma=61.27
Atoms (fractional coordinates):
1 Zn 0.0000 0.0000 0.0000
2 Mo 0.4599 0.4599 0.0000
3 Mo 0.7281 0.2281 0.5000
4 P 0.2498 0.7498 0.5000

=====

No. 8
Computed, not measured: NaLa2MgO after structural relaxation at the PBE level of DFT.

Values from the calculation:
Volume in Å³ per cell: 130.1
Size of the total moment in μB per formula unit: 0.000
Calculated total energy in eV per atom: -4.576
Calculated density in g/cm³: 4.35
Raw formation energy in meV/atom: -1031

Unit cell a=4.9830 b=4.9830 c=5.2399 alpha=90.00 beta=90.00 gamma=90.00
Atoms (fractional coordinates):
1 Na 0.0000 0.0000 0.0000
2 La 0.0000 0.5000 0.5000
3 La 0.5000 0.0000 0.5000
4 Mg 0.5000 0.5000 0.0000
5 O 0.0000 0.0000 0.5000

=====

> What is the formula in the fourth record?

CsRb2HfI8

=====

> What is the calculated density in the fifth record?

6.65 g/cm³

=====

> Among the records above, which one has the highest calculated density?

Ac3Al2Pt9

=====

> Look up the calculated total energy of the second one.

-4.794 eV per atom